[1]
VASP calculation (PBE) on a relaxed ScTaCl2 crystal.

Summary:
- M_tot (μB per formula unit) = 0.00
- raw total energy (eV per cell) = -21.728
- symmetry = No. 119
- theoretical density (g cm⁻³) = 6.59
- raw formation energy (eV per atom) = 0.0375

Cell lengths 6.3074, 6.3074, 6.3074 Å; angles 146.82, 146.82, 47.62 degrees
With the nearest neighbours (Å) after each atom.
Fractional positions:
Sc1 0.0000 0.0000 0.0000  4 Cl 2.55
Ta1 0.2500 0.7500 0.5000  4 Cl 2.55
Cl1 0.5000 0.5000 0.0000  4 Sc 2.55
Cl2 0.7500 0.2500 0.5000  4 Ta 2.55

=====

[2]
VASP calculation (PBE) on a relaxed ScTaCl2 crystal.

Summary:
- M_tot (μB per formula unit) = 0.00
- raw total energy (eV per cell) = -25.035
- symmetry = No. 99
- theoretical density (g cm⁻³) = 5.67
- raw formation energy (eV per atom) = -0.7895

Cell lengths 3.0843, 3.0843, 9.1346 Å; angles 90.00, 90.00, 90.00 degrees
With the nearest neighbours (Å) after each atom.
Fractional positions:
Sc1 0.0000 0.0000 0.0000  4 Cl 2.71
Ta1 0.5000 0.5000 0.2493  4 Cl 2.70
Cl1 0.0000 0.0000 0.4228  4 Ta 2.70
Cl2 0.5000 0.5000 0.8243  4 Sc 2.71

=====

[3]
VASP calculation (PBE) on a relaxed ScTaCl2 crystal.

Summary:
- M_tot (μB per formula unit) = 5.66
- raw total energy (eV per cell) = -20.053
- symmetry = No. 216
- theoretical density (g cm⁻³) = 5.62
- raw formation energy (eV per atom) = 0.4560

Cell lengths 4.9878, 4.9878, 4.9878 Å; angles 60.00, 60.00, 60.00 degrees
With the nearest neighbours (Å) after each atom.
Fractional positions:
Sc1 0.0000 0.0000 0.0000  4 Ta 3.05, 4 Cl 3.05
Ta1 0.7500 0.7500 0.7500  4 Cl 3.05, 4 Sc 3.05
Cl1 0.2500 0.2500 0.2500  4 Cl 3.05, 4 Sc 3.05
Cl2 0.5000 0.5000 0.5000  4 Ta 3.05, 4 Cl 3.05

=====

[4]
VASP calculation (PBE) on a relaxed ScTaCl2 crystal.

Summary:
- M_tot (μB per formula unit) = 0.00
- raw total energy (eV per cell) = -45.819
- symmetry = No. 122
- theoretical density (g cm⁻³) = 6.19
- raw formation energy (eV per atom) = -0.2580

Cell lengths 8.9015, 8.9015, 8.9015 Å; angles 151.60, 151.60, 40.60 degrees
With the nearest neighbours (Å) after each atom.
Fractional positions:
Sc1 0.0000 0.0000 0.0000  4 Cl 2.62
Sc2 0.7500 0.2500 0.5000  4 Cl 2.62
Ta1 0.2500 0.7500 0.5000  4 Cl 2.57
Ta2 0.5000 0.5000 0.0000  4 Cl 2.57
Cl1 0.1395 0.6250 0.0145  2 Ta 2.57, 2 Sc 2.62
Cl2 0.3750 0.3895 0.5145  2 Ta 2.57, 2 Sc 2.62
Cl3 0.6105 0.1250 0.9855  2 Ta 2.57, 2 Sc 2.62
Cl4 0.8750 0.8605 0.4855  2 Ta 2.57, 2 Sc 2.62